Computed, not measured: crystalline ScAl2Pb at its relaxed geometry at the PBE-GGA level of DFT.

Cell and atoms, written as CIF:
```
data_ScAl2Pb
_chemical_formula_sum 'Sc1 Al2 Pb1'
_cell_length_a 3.589
_cell_length_b 3.589
_cell_length_c 6.653
_cell_angle_alpha 90.00
_cell_angle_beta 90.00
_cell_angle_gamma 90.00
_space_group_name_H-M_alt 'P 1'
_space_group_IT_number 1
loop_
_space_group_symop_operation_xyz
'x,y,z'
loop_
_atom_site_label
_atom_site_type_symbol
_atom_site_fract_x
_atom_site_fract_y
_atom_site_fract_z
_atom_site_occupancy
Sc1 Sc 0.500 0.500 0.779 1
Al1 Al 0.000 0.000 0.021 1
Al2 Al 0.500 0.500 0.217 1
Pb1 Pb 0.000 0.000 0.483 1
```

## Properties
* final energy: -17.9 eV/cell
* ΔH_f (0 K): -0.0907 eV per atom

***

Computed, not measured: crystalline PuZr4 at its relaxed geometry at the PBE-GGA level of DFT.

Cell and atoms, written as CIF:
```
data_PuZr4
_chemical_formula_sum 'Pu1 Zr4'
_cell_length_a 5.023
_cell_length_b 5.023
_cell_length_c 5.023
_cell_angle_alpha 90.00
_cell_angle_beta 90.00
_cell_angle_gamma 90.00
_space_group_name_H-M_alt 'P 1'
_space_group_IT_number 1
loop_
_space_group_symop_operation_xyz
'x,y,z'
loop_
_atom_site_label
_atom_site_type_symbol
_atom_site_fract_x
_atom_site_fract_y
_atom_site_fract_z
_atom_site_occupancy
Zr1 Zr 0.500 0.500 0.000 1
Zr2 Zr 0.500 0.000 0.500 1
Zr3 Zr 0.000 0.500 0.500 1
Zr4 Zr 0.000 0.000 0.000 1
Pu1 Pu 0.500 0.500 0.500 1
```

## Properties
* final energy: -44.8 eV/cell
* relative energy among the computed polymorphs: 0.681 eV per atom
* ΔH_f (0 K): 0.7481 eV per atom

***

Computed, not measured: crystalline TiOsI2O at its relaxed geometry at the PBE-GGA level of DFT.

Cell and atoms, written as CIF:
```
data_TiOsI2O
_chemical_formula_sum 'Ti1 Os1 I2 O1'
_cell_length_a 5.606
_cell_length_b 5.606
_cell_length_c 3.675
_cell_angle_alpha 90.00
_cell_angle_beta 90.00
_cell_angle_gamma 90.00
_space_group_name_H-M_alt 'P 1'
_space_group_IT_number 1
loop_
_space_group_symop_operation_xyz
'x,y,z'
loop_
_atom_site_label
_atom_site_type_symbol
_atom_site_fract_x
_atom_site_fract_y
_atom_site_fract_z
_atom_site_occupancy
Os1 Os 0.500 0.500 0.500 1
O1 O 0.000 0.000 0.500 1
I1 I 0.000 0.500 0.000 1
I2 I 0.500 0.000 0.000 1
Ti1 Ti 0.000 0.000 0.000 1
```

## Properties
* final energy: -26.3 eV/cell
* ΔE_f (raw): 0.177 eV per atom
* relative energy among the computed polymorphs: 0.000 eV per atom